# SiPtW2

A relaxed structure of SiPtW2 (PBE, Alexandria).

Output
Raw formation energy: 0.048 eV/atom
Fermi-level density of states: 0.690 states/eV per atom
Uncorrected energy: -0.342 Ha/atom

Unit cell a=4.839 b=4.839 c=4.839 alpha=132.28 beta=132.28 gamma=69.78
Positions (direct):
Pt 0.500 0.500 0.000
Si 0.750 0.250 0.500
W 0.000 0.000 0.000
W 0.250 0.750 0.500

=====

# Y2SiPt2

A relaxed structure of Y2SiPt2 (PBE, Alexandria).

Output
Raw formation energy: -0.680 eV/atom
Fermi-level density of states: 0.646 states/eV per atom
Uncorrected energy: -0.249 Ha/atom

Unit cell a=3.786 b=3.786 c=8.312 alpha=76.84 beta=76.84 gamma=90.00
Positions (direct):
Y 0.390 0.390 0.219
Y 0.610 0.610 0.781
Si 0.000 0.000 0.000
Pt 0.750 0.250 0.500
Pt 0.250 0.750 0.500

=====

# YSi2Pt8

A relaxed structure of YSi2Pt8 (PBE, Alexandria).

Output
Raw formation energy: -0.431 eV/atom
Fermi-level density of states: 0.622 states/eV per atom
Uncorrected energy: -0.235 Ha/atom

Unit cell a=5.448 b=5.448 c=7.411 alpha=90.00 beta=90.00 gamma=90.00
Positions (direct):
Y 0.500 0.500 0.500
Si 0.500 0.000 0.000
Si 0.000 0.500 0.000
Pt 0.753 0.753 0.207
Pt 0.753 0.247 0.793
Pt 0.753 0.753 0.793
Pt 0.753 0.247 0.207
Pt 0.247 0.753 0.207
Pt 0.247 0.753 0.793
Pt 0.247 0.247 0.207
Pt 0.247 0.247 0.793

=====

# Y4SiPt

A relaxed structure of Y4SiPt (PBE, Alexandria).

Output
Raw formation energy: 0.437 eV/atom
Fermi-level density of states: 1.328 states/eV per atom
Uncorrected energy: -0.213 Ha/atom

Unit cell a=5.985 b=5.985 c=5.985 alpha=60.00 beta=60.00 gamma=60.00
Positions (direct):
Y 0.876 0.375 0.375
Y 0.375 0.375 0.876
Y 0.375 0.876 0.375
Y 0.375 0.375 0.375
Si 0.000 0.000 0.000
Pt 0.750 0.750 0.750

=====

# Y3Si2Pt7

A relaxed structure of Y3Si2Pt7 (PBE, Alexandria).

Output
Raw formation energy: -0.973 eV/atom
Fermi-level density of states: 0.378 states/eV per atom
Uncorrected energy: -0.258 Ha/atom

Unit cell a=4.014 b=4.123 c=14.302 alpha=98.29 beta=90.00 gamma=90.00
Positions (direct):
Y 0.500 0.500 0.000
Y 0.500 0.702 0.404
Y 0.500 0.298 0.596
Si 0.000 0.917 0.834
Si 0.000 0.083 0.166
Pt 0.000 0.373 0.746
Pt 0.000 0.788 0.576
Pt 0.000 0.000 0.000
Pt 0.000 0.627 0.254
Pt 0.500 0.128 0.256
Pt 0.500 0.872 0.744
Pt 0.000 0.212 0.424

=====

# YSi2Pt

A relaxed structure of YSi2Pt (PBE, Alexandria).

Output
Raw formation energy: -0.478 eV/atom
Fermi-level density of states: 0.651 states/eV per atom
Uncorrected energy: -0.232 Ha/atom

Unit cell a=3.504 b=3.504 c=6.412 alpha=90.00 beta=90.00 gamma=105.06
Positions (direct):
Pt 0.500 0.500 0.750
Si 0.000 0.000 0.943
Si 0.000 0.000 0.557
Y 0.500 0.500 0.250

=====

# Y2Si2Pt3

A relaxed structure of Y2Si2Pt3 (PBE, Alexandria).

Output
Raw formation energy: -1.107 eV/atom
Fermi-level density of states: 0.570 states/eV per atom
Uncorrected energy: -0.261 Ha/atom

Unit cell a=3.876 b=5.508 c=7.071 alpha=114.05 beta=90.00 gamma=110.60
Positions (direct):
Y 0.866 0.731 0.229
Y 0.134 0.269 0.771
Si 0.849 0.698 0.779
Si 0.151 0.302 0.221
Pt 0.500 0.000 0.000
Pt 0.624 0.249 0.439
Pt 0.376 0.751 0.561

=====

# YSi2Pt

A relaxed structure of YSi2Pt (PBE, Alexandria).

Output
Raw formation energy: -0.819 eV/atom
Fermi-level density of states: 0.420 states/eV per atom
Uncorrected energy: -0.245 Ha/atom

Unit cell a=4.115 b=4.020 c=4.824 alpha=88.10 beta=90.00 gamma=90.00
Positions (direct):
Pt 0.500 0.750 0.750
Si 0.000 0.792 0.009
Si 0.000 0.708 0.491
Y 0.500 0.250 0.250